(1)
First-principles (PBE) data for a relaxed NbTeOs crystal, as listed in OQMD.

a = 4.471 Å, b = 4.471 Å, c = 4.471 Å
α = 60.00°, β = 60.00°, γ = 60.00°
Fractional positions:
Os1 0.250 0.250 0.250
Te1 0.750 0.750 0.750
Nb1 0.000 0.000 0.000

Summary:
The space group is No. 216.


(2)
First-principles (PBE) data for a relaxed NbTeOs crystal, as listed in OQMD.

a = 4.424 Å, b = 4.424 Å, c = 4.424 Å
α = 60.00°, β = 60.00°, γ = 60.00°
Fractional positions:
Te1 0.750 0.750 0.750
Os1 0.000 0.000 0.000
Nb1 0.250 0.250 0.250

Summary:
The space group is No. 216.


Which one sits at the top of the stability order? (2) does.


(1)
First-principles (PBE) data for a relaxed UNbOs crystal, as listed in OQMD.

a = 4.508 Å, b = 4.508 Å, c = 4.508 Å
α = 60.00°, β = 60.00°, γ = 60.00°
Fractional positions:
U1 0.750 0.750 0.750
Os1 0.000 0.000 0.000
Nb1 0.250 0.250 0.250

Summary:
The space group is No. 216.


(2)
First-principles (PBE) data for a relaxed UNbOs crystal, as listed in OQMD.

a = 4.444 Å, b = 4.444 Å, c = 4.444 Å
α = 60.00°, β = 60.00°, γ = 60.00°
Fractional positions:
Os1 0.750 0.750 0.750
Nb1 0.250 0.250 0.250
U1 0.000 0.000 0.000

Summary:
The space group is No. 216.


Which one sits at the top of the stability order? (1) does.